The following is a DFT calculation (PBE) of a geometry-optimized Dy2In3Cl9 structure.

a b c (Å): 9.722 9.722 9.722
angles (deg): 84.64 84.64 84.64
Element x y z (fractional)
Dy: 0.145 0.145 0.145
Dy: 0.645 0.645 0.645
Dy: 0.855 0.855 0.855
Dy: 0.355 0.355 0.355
In: 0.459 0.750 0.041
In: 0.250 0.959 0.541
In: 0.959 0.541 0.250
In: 0.041 0.459 0.750
In: 0.750 0.041 0.459
In: 0.541 0.250 0.959
Cl: 0.721 0.935 0.077
Cl: 0.065 0.923 0.279
Cl: 0.250 0.401 0.099
Cl: 0.565 0.779 0.423
Cl: 0.599 0.901 0.750
Cl: 0.901 0.750 0.599
Cl: 0.221 0.577 0.435
Cl: 0.577 0.435 0.221
Cl: 0.923 0.279 0.065
Cl: 0.077 0.721 0.935
Cl: 0.423 0.565 0.779
Cl: 0.401 0.099 0.250
Cl: 0.779 0.423 0.565
Cl: 0.099 0.250 0.401
Cl: 0.435 0.221 0.577
Cl: 0.750 0.599 0.901
Cl: 0.935 0.077 0.721
Cl: 0.279 0.065 0.923

## Properties
- uncorrected formation energy (eV per atom) = -1.63
- magnetization (Bohr magnetons per cell) = 0.0
- final energy (eV/f.u.) = -56.9
- symmetry = R-3c (167)